{"formula": "LaZrAlH2", "functional": "PBE", "state": "optimized geometry", "cell": [[-2.834, 0.748, 3.033], [1.592, -4.460, 2.588], [2.865, 2.254, 2.122]], "species": ["H", "Al", "H", "Zr", "La"], "frac_coords": [[0.500, 0.000, 0.000], [0.000, 0.500, 0.000], [0.000, 0.000, 0.500], [0.000, 0.000, 0.000], [0.500, 0.500, 0.500]], "dos_ef_per_ev_atom": 0.6621, "energy_ev_per_atom": -4.810}

{"formula": "Li2AlH5", "functional": "PBE", "state": "optimized geometry", "cell": [[-2.406, 1.068, 4.575], [3.136, -3.461, 2.459], [4.293, 3.115, 4.577]], "species": ["H", "Li", "Li", "H", "H", "H", "Li", "H", "Li", "H", "H", "Al", "H", "H", "H", "Al"], "frac_coords": [[0.709, 0.206, 0.089], [0.500, 0.000, 0.000], [0.000, 0.500, 0.500], [0.624, 0.376, 0.750], [0.291, 0.794, 0.911], [0.793, 0.798, 0.902], [0.500, 0.500, 0.000], [0.207, 0.202, 0.098], [0.500, 0.500, 0.500], [0.794, 0.291, 0.411], [0.376, 0.624, 0.250], [0.876, 0.124, 0.250], [0.202, 0.207, 0.598], [0.798, 0.793, 0.402], [0.206, 0.709, 0.589], [0.124, 0.876, 0.750]], "polymorph_energy_ev_per_fu": 0.267, "dos_ef_per_ev_atom": 0.0000, "energy_ev_per_atom": -3.241}

{"formula": "Li3AlH6", "functional": "PBE", "state": "optimized geometry", "cell": [[-2.240, 5.034, 0.695], [-2.820, -0.760, -4.723], [-4.051, -2.369, 2.968]], "species": ["H", "H", "Li", "H", "H", "Al", "Al", "Li", "H", "H", "Li", "Li", "H", "H", "Li", "H", "H", "H", "H", "Li"], "frac_coords": [[0.430, 0.796, 0.575], [0.204, 0.425, 0.570], [0.750, 0.569, 0.062], [0.048, 0.703, 0.911], [0.911, 0.048, 0.703], [0.500, 0.500, 0.500], [0.000, 0.000, 0.000], [0.062, 0.750, 0.569], [0.089, 0.952, 0.297], [0.570, 0.204, 0.425], [0.250, 0.431, 0.938], [0.431, 0.938, 0.250], [0.575, 0.430, 0.796], [0.703, 0.911, 0.048], [0.938, 0.250, 0.431], [0.952, 0.297, 0.089], [0.796, 0.575, 0.430], [0.425, 0.570, 0.204], [0.297, 0.089, 0.952], [0.569, 0.062, 0.750]], "dos_ef_per_ev_atom": 0.0000, "energy_ev_per_atom": -3.251}

{"formula": "LiAl3H", "functional": "PBE", "state": "optimized geometry", "cell": [[-3.584, 1.772, 0.896], [-1.038, -3.248, 2.271], [1.693, 1.760, 3.290]], "species": ["Al", "Li", "H", "Al", "Al"], "frac_coords": [[0.500, 0.000, 0.000], [0.500, 0.500, 0.500], [0.000, 0.000, 0.000], [0.000, 0.500, 0.000], [0.000, 0.000, 0.500]], "polymorph_energy_ev_per_fu": 0.000, "dos_ef_per_ev_atom": 0.3785, "energy_ev_per_atom": -3.174}

{"formula": "LiAl2H2", "functional": "PBE", "state": "optimized geometry", "cell": [[-1.154, 1.495, 5.066], [-5.112, -1.623, -0.686], [0.959, -3.555, 1.267]], "species": ["Li", "Al", "H", "Li", "H", "Al", "H", "Al", "Al", "H"], "frac_coords": [[0.000, 0.000, 0.000], [0.822, 0.678, 0.500], [0.317, 0.817, 0.000], [0.500, 0.500, 0.000], [0.817, 0.683, 0.000], [0.322, 0.822, 0.500], [0.683, 0.183, 0.000], [0.178, 0.322, 0.500], [0.678, 0.178, 0.500], [0.183, 0.317, 0.000]], "polymorph_energy_ev_per_fu": 0.000, "dos_ef_per_ev_atom": 0.2038, "energy_ev_per_atom": -3.222}

{"formula": "Li3AlH8", "functional": "PBE", "state": "optimized geometry", "cell": [[4.410, 0.000, 0.000], [0.000, 4.410, 0.000], [-2.205, -2.205, 4.356]], "species": ["H", "H", "Li", "H", "Li", "H", "H", "H", "Al", "H", "H", "Li"], "frac_coords": [[0.114, 0.648, 0.762], [0.352, 0.886, 0.238], [0.250, 0.750, 0.500], [0.648, 0.114, 0.762], [0.500, 0.500, 0.000], [0.352, 0.352, 0.238], [0.886, 0.886, 0.238], [0.648, 0.648, 0.762], [0.000, 0.000, 0.000], [0.114, 0.114, 0.762], [0.886, 0.352, 0.238], [0.750, 0.250, 0.500]], "dos_ef_per_ev_atom": 0.0866, "energy_ev_per_atom": -2.998}

{"formula": "LiAlH5", "functional": "PBE", "state": "optimized geometry", "cell": [[4.615, 0.189, 0.197], [1.644, 4.316, 0.197], [2.497, 1.798, 6.587]], "species": ["H", "H", "H", "Li", "H", "H", "H", "H", "H", "Al", "H", "Al", "H", "Li"], "frac_coords": [[0.597, 0.409, 0.991], [0.058, 0.942, 0.750], [0.591, 0.403, 0.509], [0.454, 0.546, 0.750], [0.261, 0.211, 0.883], [0.739, 0.789, 0.117], [0.403, 0.591, 0.009], [0.211, 0.261, 0.383], [0.789, 0.739, 0.617], [0.000, 0.000, 0.000], [0.942, 0.058, 0.250], [0.000, 0.000, 0.500], [0.409, 0.597, 0.491], [0.546, 0.454, 0.250]], "dos_ef_per_ev_atom": 0.1224, "energy_ev_per_atom": -3.099}

{"formula": "LiAl3H", "functional": "PBE", "state": "optimized geometry", "cell": [[-2.495, 3.148, -1.914], [-3.117, -3.036, -0.931], [-1.965, 0.819, 3.907]], "species": ["Al", "H", "Li", "Al", "Al"], "frac_coords": [[0.000, 0.500, 0.000], [0.500, 0.500, 0.500], [0.000, 0.000, 0.000], [0.000, 0.000, 0.500], [0.500, 0.000, 0.000]], "polymorph_energy_ev_per_fu": 3.665, "dos_ef_per_ev_atom": 0.2721, "energy_ev_per_atom": -2.441}

{"formula": "Li5Al3H12", "functional": "PBE", "state": "optimized geometry", "cell": [[-3.404, 8.475, -2.523], [0.313, -5.664, -7.589], [-5.639, -3.839, 6.576]], "species": ["H", "Al", "H", "H", "H", "H", "H", "Al", "H", "H", "Al", "Li", "H", "H", "H", "H", "H", "H", "H", "Li", "H", "H", "H", "Al", "H", "Li", "Li", "H", "H", "H", "Li", "H", "Al", "Al", "Li", "Li", "H", "H", "H", "H", "Li", "H", "H", "H", "H", "Li", "H", "Al", "Li", "Li", "H", "H", "Li", "Li", "H", "H", "Al", "H", "H", "H", "H", "H", "H", "Li", "Al", "Li", "Li", "Li", "Al", "Li", "H", "H", "Li", "Al", "Al", "H", "H", "H", "H", "Li"], "frac_coords": [[0.143, 0.722, 0.551], [0.250, 0.125, 0.375], [0.857, 0.579, 0.908], [0.579, 0.722, 0.671], [0.921, 0.092, 0.643], [0.357, 0.408, 0.079], [0.408, 0.051, 0.329], [0.125, 0.250, 0.875], [0.643, 0.051, 0.222], [0.722, 0.579, 0.171], [0.375, 0.750, 0.625], [0.625, 0.875, 0.250], [0.421, 0.143, 0.592], [0.592, 0.949, 0.671], [0.143, 0.421, 0.092], [0.592, 0.643, 0.421], [0.079, 0.171, 0.222], [0.643, 0.592, 0.921], [0.921, 0.829, 0.778], [0.375, 0.125, 0.750], [0.778, 0.449, 0.357], [0.671, 0.449, 0.592], [0.551, 0.222, 0.143], [0.250, 0.625, 0.875], [0.449, 0.671, 0.092], [0.500, 0.500, 0.500], [0.000, 0.000, 0.000], [0.551, 0.329, 0.908], [0.579, 0.857, 0.408], [0.329, 0.778, 0.421], [0.500, 0.500, 0.000], [0.949, 0.592, 0.171], [0.750, 0.875, 0.625], [0.375, 0.625, 0.250], [0.125, 0.750, 0.375], [0.000, 0.000, 0.500], [0.778, 0.329, 0.921], [0.908, 0.829, 0.551], [0.722, 0.143, 0.051], [0.051, 0.408, 0.829], [0.250, 0.875, 0.125], [0.092, 0.921, 0.143], [0.829, 0.908, 0.051], [0.949, 0.357, 0.278], [0.329, 0.551, 0.408], [0.500, 0.000, 0.000], [0.357, 0.949, 0.778], [0.625, 0.250, 0.375], [0.875, 0.625, 0.750], [0.625, 0.750, 0.875], [0.408, 0.357, 0.579], [0.222, 0.671, 0.079], [0.000, 0.500, 0.000], [0.875, 0.250, 0.625], [0.171, 0.092, 0.949], [0.092, 0.171, 0.449], [0.875, 0.750, 0.125], [0.222, 0.551, 0.643], [0.421, 0.278, 0.329], [0.079, 0.908, 0.357], [0.671, 0.222, 0.579], [0.051, 0.643, 0.722], [0.857, 0.278, 0.449], [0.750, 0.125, 0.875], [0.125, 0.875, 0.750], [0.250, 0.375, 0.625], [0.125, 0.375, 0.250], [0.750, 0.625, 0.375], [0.625, 0.375, 0.750], [0.000, 0.500, 0.500], [0.278, 0.857, 0.949], [0.908, 0.079, 0.857], [0.500, 0.000, 0.500], [0.750, 0.375, 0.125], [0.875, 0.125, 0.250], [0.278, 0.421, 0.829], [0.829, 0.921, 0.278], [0.171, 0.079, 0.722], [0.449, 0.778, 0.857], [0.375, 0.250, 0.125]], "dos_ef_per_ev_atom": 0.1689, "energy_ev_per_atom": -3.043}

{"formula": "LiAl2H2", "functional": "PBE", "state": "optimized geometry", "cell": [[-0.257, -1.859, 2.281], [0.502, -2.284, -1.804], [6.509, -1.564, 1.373]], "species": ["Li", "Al", "Al", "H", "H"], "frac_coords": [[0.000, 0.000, 0.000], [0.651, 0.651, 0.699], [0.349, 0.349, 0.301], [0.750, 0.250, 0.500], [0.250, 0.750, 0.500]], "polymorph_energy_ev_per_fu": 0.865, "dos_ef_per_ev_atom": 0.2641, "energy_ev_per_atom": -3.049}

{"formula": "Li2AlH5", "functional": "PBE", "state": "optimized geometry", "cell": [[3.505, 0.000, 0.000], [-1.752, 4.694, 0.000], [0.000, 0.000, 9.032]], "species": ["H", "H", "H", "H", "Li", "H", "Al", "Al", "Li", "H", "H", "H", "Li", "H", "H", "Li"], "frac_coords": [[0.049, 0.098, 0.383], [0.302, 0.603, 0.393], [0.049, 0.098, 0.117], [0.302, 0.603, 0.107], [0.861, 0.722, 0.063], [0.951, 0.902, 0.617], [0.173, 0.346, 0.250], [0.827, 0.654, 0.750], [0.861, 0.722, 0.437], [0.302, 0.605, 0.750], [0.698, 0.395, 0.250], [0.698, 0.397, 0.607], [0.139, 0.278, 0.563], [0.951, 0.902, 0.883], [0.698, 0.397, 0.893], [0.139, 0.278, 0.937]], "polymorph_energy_ev_per_fu": 0.000, "dos_ef_per_ev_atom": 0.0000, "energy_ev_per_atom": -3.274}

{"formula": "LiMgAlH6", "functional": "PBE", "state": "optimized geometry", "cell": [[-2.933, -3.010, -1.042], [2.822, -0.182, -7.416], [3.016, -4.847, 5.514]], "species": ["H", "Al", "H", "Mg", "Al", "Mg", "Li", "H", "Al", "H", "Mg", "H", "H", "Li", "H", "H", "H", "H", "H", "H", "H", "Li", "H", "H", "H", "H", "H"], "frac_coords": [[0.729, 0.126, 0.544], [0.501, 0.333, 0.667], [0.271, 0.544, 0.126], [0.000, 0.363, 0.363], [0.000, 0.000, 0.000], [0.000, 0.000, 0.637], [0.500, 0.296, 0.000], [0.725, 0.777, 0.542], [0.499, 0.667, 0.333], [0.271, 0.874, 0.418], [0.000, 0.637, 0.000], [0.222, 0.210, 0.115], [0.222, 0.885, 0.094], [0.500, 0.704, 0.704], [0.778, 0.790, 0.906], [0.275, 0.223, 0.765], [0.729, 0.418, 0.874], [0.222, 0.906, 0.790], [0.725, 0.458, 0.235], [0.271, 0.582, 0.456], [0.778, 0.115, 0.210], [0.500, 0.000, 0.296], [0.778, 0.094, 0.885], [0.275, 0.235, 0.458], [0.729, 0.456, 0.582], [0.725, 0.765, 0.223], [0.275, 0.542, 0.777]], "polymorph_energy_ev_per_fu": 0.000, "dos_ef_per_ev_atom": 0.0000, "energy_ev_per_atom": -3.240}

{"formula": "Li6Mg2AlH", "functional": "PBE", "state": "optimized geometry", "cell": [[-1.838, -2.172, -7.157], [-3.698, -3.183, 1.917], [-6.046, -0.160, -4.767]], "species": ["Li", "Li", "Li", "Li", "Mg", "Li", "Mg", "Al", "H", "Li"], "frac_coords": [[0.094, 0.657, 0.068], [0.906, 0.343, 0.932], [0.275, 0.094, 0.563], [0.725, 0.906, 0.437], [0.179, 0.821, 0.359], [0.344, 0.276, 0.819], [0.821, 0.179, 0.641], [0.500, 0.500, 0.000], [0.000, 0.000, 0.000], [0.656, 0.724, 0.181]], "dos_ef_per_ev_atom": 0.1742, "energy_ev_per_atom": -2.275}

{"formula": "LiMgAl3H12", "functional": "PBE", "state": "optimized geometry", "cell": [[-3.164, 6.850, -4.370], [-5.143, 1.496, 6.068], [2.748, 8.009, 10.565]], "species": ["H", "H", "H", "Mg", "H", "Al", "H", "H", "Al", "H", "Li", "H", "H", "Li", "Al", "H", "H", "Al", "H", "H", "H", "H", "H", "H", "H", "Al", "H", "H", "Li", "H", "H", "H", "H", "H", "H", "H", "Al", "H", "Mg", "H", "H", "H", "H", "Al", "H", "H", "Mg", "Al", "H", "Al", "Al", "Mg", "H", "H", "H", "H", "H", "H", "Al", "H", "H", "Li", "H", "H", "H", "H", "Al", "H"], "frac_coords": [[0.583, 0.714, 0.545], [0.999, 0.376, 0.244], [0.663, 0.253, 0.954], [0.469, 0.375, 0.882], [0.882, 0.876, 0.560], [0.365, 0.228, 0.161], [0.816, 0.059, 0.878], [0.125, 0.006, 0.901], [0.753, 0.043, 0.996], [0.931, 0.628, 0.300], [0.470, 0.131, 0.621], [0.501, 0.376, 0.744], [0.387, 0.373, 0.014], [0.970, 0.869, 0.879], [0.253, 0.957, 0.504], [0.315, 0.201, 0.687], [0.337, 0.747, 0.046], [0.747, 0.043, 0.496], [0.528, 0.966, 0.788], [0.069, 0.372, 0.700], [0.163, 0.747, 0.546], [0.887, 0.627, 0.486], [0.083, 0.286, 0.955], [0.499, 0.624, 0.256], [0.815, 0.799, 0.813], [0.135, 0.228, 0.661], [0.685, 0.799, 0.313], [0.124, 0.651, 0.921], [0.030, 0.131, 0.121], [0.431, 0.372, 0.200], [0.625, 0.994, 0.599], [0.118, 0.124, 0.440], [0.712, 0.466, 0.199], [0.624, 0.349, 0.579], [0.837, 0.253, 0.454], [0.001, 0.624, 0.756], [0.865, 0.772, 0.339], [0.212, 0.534, 0.301], [0.969, 0.625, 0.618], [0.972, 0.966, 0.288], [0.875, 0.994, 0.099], [0.876, 0.349, 0.079], [0.684, 0.059, 0.378], [0.635, 0.772, 0.839], [0.382, 0.124, 0.940], [0.028, 0.034, 0.712], [0.531, 0.625, 0.118], [0.625, 0.479, 0.636], [0.788, 0.466, 0.699], [0.125, 0.521, 0.864], [0.375, 0.521, 0.364], [0.031, 0.375, 0.382], [0.613, 0.627, 0.986], [0.569, 0.628, 0.800], [0.113, 0.373, 0.514], [0.917, 0.714, 0.045], [0.375, 0.006, 0.401], [0.316, 0.941, 0.622], [0.247, 0.957, 0.004], [0.417, 0.286, 0.455], [0.288, 0.534, 0.801], [0.530, 0.869, 0.379], [0.185, 0.201, 0.187], [0.376, 0.651, 0.421], [0.618, 0.876, 0.060], [0.472, 0.034, 0.212], [0.875, 0.479, 0.136], [0.184, 0.941, 0.122]], "dos_ef_per_ev_atom": 0.0000, "energy_ev_per_atom": -3.325}

{"formula": "LiMg2AlH", "functional": "PBE", "state": "optimized geometry", "cell": [[-2.649, -2.792, -2.611], [0.768, -3.501, 2.964], [-2.913, 0.978, 1.910]], "species": ["Al", "Mg", "H", "Li", "Mg"], "frac_coords": [[0.500, 0.500, 0.500], [0.000, 0.500, 0.000], [0.000, 0.000, 0.000], [0.000, 0.000, 0.500], [0.500, 0.000, 0.000]], "dos_ef_per_ev_atom": 0.1781, "energy_ev_per_atom": -2.515}